Sm3In3CuIr2 | GGA-PBE | relaxed

a = 7.5959 Å, b = 7.5959 Å, c = 4.0070 Å
α = 90.00°, β = 90.00°, γ = 120.00°
Space group P-62m (No. 189)
Inequivalent atoms, fractional coordinates:
1 Sm 0.0000 0.5867 0.0000 [3 per cell]
2 In 0.0000 0.2510 0.5000 [3 per cell]
3 Cu 0.0000 0.0000 0.0000 [1 per cell]
4 Ir 0.3333 0.6667 0.5000 [2 per cell]

Computed properties:
total energy	-5.46	eV per atom